(1)
The following is a PBE calculation of a relaxed structure of Rb2AcB2O6, from the Alexandria database.

The calculation puts the calculated volume at 583 Å³ per cell. As for the density of states at the Fermi level: 13.59 states/eV per cell. For the uncorrected formation energy, the calculation gives -232.4 kJ/mol of atoms.

The space group is R-3m (No. 166, hexagonal axes) and the conventional cell measures 5.7521, 5.7521 and 20.3452 Å, with angles of 90.00, 90.00 and 120.00 degrees. The inequivalent atoms are Rb at (0.0000, 0.0000, 0.2039), Ac at (0.0000, 0.0000, 0.0000), B at (0.0000, 0.0000, 0.4113) and O at (0.0557, 0.5279, 0.2556).



(2)
The following is a PBE calculation of a relaxed structure of RbAcB2O6, from the Alexandria database.

The calculation puts the calculated volume at 701 Å³ per cell. For the uncorrected formation energy, the calculation gives -221.2 kJ/mol of atoms.

The space group is C2/c (No. 15) and the conventional cell measures 9.050, 10.644 and 7.826 Å, with angles of 90.00, 111.61 and 90.00 degrees. The inequivalent atoms are Rb at (0.000, 0.128, 0.250), Ac at (0.000, 0.408, 0.750), B at (0.236, 0.370, 0.244), O at (0.096, 0.387, 0.097), O at (0.182, 0.241, 0.719) and O at (0.215, 0.028, 0.643).